Here is a relaxed KSi3Te crystal from the Alexandria database. Energies are from PBE-GGA.

Cell lengths 5.4627, 5.4627, 5.4627 Å; angles 90.00, 90.00, 90.00 degrees
Fractional positions:
K: 0.0000 0.0000 0.0000
Si: 0.0000 0.5000 0.5000
Si: 0.5000 0.0000 0.5000
Si: 0.5000 0.5000 0.0000
Te: 0.5000 0.5000 0.5000

Output
Its symmetry is Pm-3m, No. 221. The value obtained for the offset from the most stable computed form is 0.000 eV/atom. As for the crystal system: cubic. As for the formation energy without anion corrections: 1.00 eV/atom. For the magnetization, the calculation gives 0.000 μB/f.u.


Here is a relaxed CrNi2Ru crystal from the Alexandria database. Energies are from PBE-GGA.

Cell lengths 8.5558, 2.5712, 4.4068 Å; angles 90.00, 100.28, 90.00 degrees
Fractional positions:
Cr: 0.0000 0.0000 0.0000
Cr: 0.5000 0.5000 0.0000
Ni: 0.2492 0.5000 0.2437
Ni: 0.2508 0.0000 0.7563
Ni: 0.7492 0.0000 0.2437
Ni: 0.7508 0.5000 0.7563
Ru: 0.0000 0.5000 0.5000
Ru: 0.5000 0.0000 0.5000

Output
Its symmetry is C2/m, No. 12. The formation energy is 0.121 eV per atom. As for the crystal system: monoclinic. For the magnetization, the calculation gives 0.000 μB/f.u.


Here is a relaxed NdSm2DySb4 crystal from the Alexandria database. Energies are from PBE-GGA.

Cell lengths 7.7292, 4.4659, 7.7316 Å; angles 90.00, 109.48, 90.00 degrees
Fractional positions:
Nd: 0.0000 0.0000 0.0000
Sm: 0.0000 0.5000 0.5000
Sm: 0.5000 0.0000 0.5000
Dy: 0.5000 0.5000 0.0000
Sb: 0.2541 0.5000 0.2503
Sb: 0.2549 0.0000 0.7527
Sb: 0.7451 0.0000 0.2473
Sb: 0.7459 0.5000 0.7497

Output
Its symmetry is P2/m, No. 10. As for the crystal system: monoclinic. As for the formation energy without anion corrections: -1.16 eV/atom. For the magnetization, the calculation gives 0.000 μB/f.u.


Here is a relaxed NiPAu crystal from the Alexandria database. Energies are from PBE-GGA.

Cell lengths 2.9474, 2.9474, 6.0247 Å; angles 90.00, 90.00, 120.00 degrees
Fractional positions:
Ni: 0.0000 0.0000 0.0000
P: 0.6667 0.3333 0.2302
Au: 0.3333 0.6667 0.6461

Output
Its symmetry is P3m1, No. 156. The formation energy is -0.027 eV per atom. As for the crystal system: trigonal. For the magnetization, the calculation gives 0.000 μB/f.u.


Number 1: theoretical density 2.6 g/cm3, DOS(E_F) 3.17 states/eV per cell. Number 2: theoretical density 9.4 g/cm3, DOS(E_F) 13.34 states/eV per cell. Number 3: theoretical density 7.2 g/cm3, DOS(E_F) 1.05 states/eV per cell. Number 4: theoretical density 10.5 g/cm3, DOS(E_F) 0.51 states/eV per cell.